Record 1
Density functional theory data (PBE) for crystalline CsB3W at its relaxed geometry.

The structure belongs to space group Pm-3m (No. 221); the cell edges are 4.338, 4.338 and 4.338 Å and the angles 90.00°, 90.00° and 90.00°. Symmetry generates all atoms from Cs at (0.000, 0.000, 0.000), B at (0.000, 0.000, 0.500) and W at (0.500, 0.500, 0.500).

The calculation puts the theoretical density at 7.10 g cm⁻³. For the size of the total moment, the calculation gives 0.00 μB/cell. The value obtained for the polymorph energy (0 for the lowest one) is 2.7722 eV/atom. As for the energy of formation: 4.01 eV per atom. As for the total energy: -2.76 eV per atom. As for the density of states at the Fermi level: 0.968 states/eV per atom.

---

Record 2
Density functional theory data (PBE) for crystalline CsB2W at its relaxed geometry.

The structure belongs to space group Fm-3m (No. 225); the cell edges are 6.298, 6.298 and 6.298 Å and the angles 90.00°, 90.00° and 90.00°. Symmetry generates all atoms from Cs at (0.000, 0.000, 0.000), B at (0.250, 0.250, 0.250) and W at (0.000, 0.000, 0.500).

The calculation puts the theoretical density at 9.00 g cm⁻³. For the size of the total moment, the calculation gives 0.00 μB/cell. The value obtained for the polymorph energy (0 for the lowest one) is 1.7435 eV/atom. As for the energy of formation: 2.71 eV per atom. As for the total energy: -4.08 eV per atom. As for the density of states at the Fermi level: 1.095 states/eV per atom.

---

Record 3
Density functional theory data (PBE) for crystalline CsB3W at its relaxed geometry.

The structure belongs to space group Pm-3m (No. 221); the cell edges are 4.473, 4.473 and 4.473 Å and the angles 90.00°, 90.00° and 90.00°. Symmetry generates all atoms from Cs at (0.000, 0.000, 0.000), B at (0.000, 0.500, 0.500) and W at (0.500, 0.500, 0.500).

The calculation puts the theoretical density at 6.48 g cm⁻³. For the size of the total moment, the calculation gives 0.00 μB/cell. The value obtained for the polymorph energy (0 for the lowest one) is 0.0000 eV/atom. As for the energy of formation: 1.23 eV per atom. As for the total energy: -5.53 eV per atom. As for the density of states at the Fermi level: 0.427 states/eV per atom.

---

Record 4
Density functional theory data (PBE) for crystalline CsB2W2 at its relaxed geometry.

The structure belongs to space group I4/mmm (No. 139); the cell edges are 4.004, 4.004 and 14.389 Å and the angles 90.00°, 90.00° and 90.00°. Symmetry generates all atoms from Cs at (0.000, 0.000, 0.000), B at (0.000, 0.000, 0.312) and W at (0.000, 0.500, 0.250).

The calculation puts the theoretical density at 7.52 g cm⁻³. For the size of the total moment, the calculation gives 0.00 μB/cell. The value obtained for the polymorph energy (0 for the lowest one) is 0.0000 eV/atom. As for the energy of formation: 0.40 eV per atom. As for the total energy: -7.62 eV per atom. As for the density of states at the Fermi level: 0.286 states/eV per atom.

---

Record 5
Density functional theory data (PBE) for crystalline Cs3BW at its relaxed geometry.

The structure belongs to space group Pm-3m (No. 221); the cell edges are 6.181, 6.181 and 6.181 Å and the angles 90.00°, 90.00° and 90.00°. Symmetry generates all atoms from Cs at (0.000, 0.000, 0.500), B at (0.500, 0.500, 0.500) and W at (0.000, 0.000, 0.000).

The calculation puts the theoretical density at 4.17 g cm⁻³. For the size of the total moment, the calculation gives 0.00 μB/cell. As for the energy of formation: 2.51 eV per atom. As for the total energy: -1.93 eV per atom. As for the density of states at the Fermi level: 2.294 states/eV per atom.

---

Record 6
Density functional theory data (PBE) for crystalline CsB2W at its relaxed geometry.

The structure belongs to space group I-42d (No. 122); the cell edges are 6.773, 6.773 and 9.588 Å and the angles 90.00°, 90.00° and 90.00°. Symmetry generates all atoms from Cs at (0.000, 0.000, 0.000), B at (0.001, 0.250, 0.625) and W at (0.000, 0.000, 0.500).

The calculation puts the theoretical density at 5.11 g cm⁻³. For the size of the total moment, the calculation gives 0.00 μB/cell. The value obtained for the polymorph energy (0 for the lowest one) is 0.0000 eV/atom. As for the energy of formation: 0.97 eV per atom. As for the total energy: -5.82 eV per atom. As for the density of states at the Fermi level: 0.634 states/eV per atom.

---

> What is the theoretical density in the fourth record?

7.52 g cm⁻³